[1]
Here is a relaxed Tl2FeAg crystal from Alexandria. Energies are from PBE-GGA.

## Properties
* DFT total energy: -3.601 eV per atom
* M_tot: 2.9 μB/f.u.
* formation enthalpy at 0 K: 39.6 kJ/mol of atoms
* energy above the lowest structure with this stoichiometry: 0 meV/atom

a b c (Å): 3.229 3.229 8.436
angles (deg): 90.00 90.00 90.00
Each line ends with the local moment (μB).
Element x y z (fractional)
Ag: 0.000 0.000 0.547  0.01
Tl: 0.000 0.000 0.946  0.00
Tl: 0.500 0.500 0.281  -0.01
Fe: 0.500 0.500 0.725  2.92

[2]
Here is a relaxed Dy4YIn2 crystal from Alexandria. Energies are from PBE-GGA.

## Properties
* DFT total energy: -4.455 eV per atom
* M_tot: 0.0 μB/f.u.
* formation enthalpy at 0 K: -11.5 kJ/mol of atoms
* energy above the lowest structure with this stoichiometry: 13 meV/atom

a b c (Å): 10.778 6.841 6.312
angles (deg): 113.57 90.00 90.00
Element x y z (fractional)
Dy: 0.720 0.502 0.506
In: 0.001 0.694 0.460
Y: 0.000 0.000 0.000
Dy: 0.220 0.998 0.494
In: 0.501 0.806 0.540
In: 0.499 0.194 0.460
Dy: 0.667 0.000 0.005
Dy: 0.333 0.000 0.995
Dy: 0.280 0.498 0.494
In: 0.999 0.306 0.540
Dy: 0.167 0.500 0.995
Dy: 0.833 0.500 0.005
Dy: 0.780 0.002 0.506
Y: 0.500 0.500 0.000

[3]
Here is a relaxed LiDyAlAu crystal from Alexandria. Energies are from PBE-GGA.

## Properties
* DFT total energy: -3.992 eV per atom
* M_tot: 0.0 μB/f.u.
* formation enthalpy at 0 K: -58.7 kJ/mol of atoms

a b c (Å): 4.729 4.729 4.729
angles (deg): 60.00 60.00 60.00
Element x y z (fractional)
Au: 0.500 0.500 0.500
Dy: 0.250 0.250 0.250
Li: 0.000 0.000 0.000
Al: 0.750 0.750 0.750

[4]
Here is a relaxed ZrInSb2 crystal from Alexandria. Energies are from PBE-GGA.

## Properties
* uncorrected formation energy: -0.22 eV per atom
* DFT total energy: -5.106 eV per atom
* M_tot: 0.0 μB/f.u.

a b c (Å): 3.837 3.837 9.015
angles (deg): 77.71 77.71 60.00
Element x y z (fractional)
Zr: 0.667 0.667 0.000
Sb: 0.259 0.259 0.222
Sb: 0.074 0.074 0.779
In: 0.500 0.500 0.499

[5]
Here is a relaxed Rb2Cd3GaAu4 crystal from Alexandria. Energies are from PBE-GGA.

## Properties
* DFT total energy: -2.294 eV per atom
* M_tot: 0.0 μB/f.u.
* formation enthalpy at 0 K: -20.5 kJ/mol of atoms

a b c (Å): 4.952 4.952 11.060
angles (deg): 90.00 90.00 90.00
Element x y z (fractional)
Cd: 0.500 0.000 0.871
Cd: 0.000 0.500 0.129
Rb: 0.000 0.500 0.757
Au: 0.000 0.500 0.385
Au: 0.000 0.000 0.000
Cd: 0.000 0.000 0.500
Rb: 0.500 0.000 0.243
Au: 0.500 0.000 0.615
Au: 0.500 0.500 0.000
Ga: 0.500 0.500 0.500

[6]
Here is a relaxed Be2ZnOs crystal from Alexandria. Energies are from PBE-GGA.

## Properties
* DFT total energy: -4.974 eV per atom
* M_tot: 0.0 μB/f.u.
* formation enthalpy at 0 K: 1.4 kJ/mol of atoms

a b c (Å): 3.849 2.581 4.740
angles (deg): 73.98 90.00 90.00
Element x y z (fractional)
Be: 0.000 0.192 0.996
Be: 0.500 0.055 0.266
Os: 0.000 0.460 0.449
Zn: 0.500 0.794 0.788

[7]
Here is a relaxed BeTlCrTe3 crystal from Alexandria. Energies are from PBE-GGA.

## Properties
* uncorrected formation energy: -0.25 eV per atom
* DFT total energy: -4.437 eV per atom
* M_tot: 3.0 μB/f.u.

a b c (Å): 4.021 8.517 10.884
angles (deg): 113.16 90.00 90.00
Each line ends with the local moment (μB).
Element x y z (fractional)
Cr: 0.750 0.323 0.846  3.08
Be: 0.250 0.076 0.596  0.01
Te: 0.250 0.767 0.435  -0.02
Be: 0.750 0.924 0.404  0.01
Te: 0.750 0.443 0.118  -0.16
Tl: 0.750 0.733 0.715  -0.01
Te: 0.250 0.557 0.882  -0.16
Tl: 0.250 0.267 0.285  -0.01
Te: 0.750 0.911 0.178  -0.07
Cr: 0.250 0.677 0.154  3.08
Te: 0.250 0.089 0.822  -0.07
Te: 0.750 0.233 0.565  -0.02

[8]
Here is a relaxed NdLuCdNi crystal from Alexandria. Energies are from PBE-GGA.

## Properties
* DFT total energy: -4.218 eV per atom
* M_tot: 0.0 μB/f.u.
* formation enthalpy at 0 K: -21.4 kJ/mol of atoms

a b c (Å): 5.092 5.092 5.092
angles (deg): 60.00 60.00 60.00
Element x y z (fractional)
Ni: 0.250 0.250 0.250
Nd: 0.500 0.500 0.500
Cd: 0.750 0.750 0.750
Lu: 0.000 0.000 0.000

[9]
Here is a relaxed Ca2YPd9 crystal from Alexandria. Energies are from PBE-GGA.

## Properties
* DFT total energy: -5.384 eV per atom
* M_tot: 0.0 μB/f.u.
* formation enthalpy at 0 K: -59.6 kJ/mol of atoms

a b c (Å): 4.139 4.139 12.358
angles (deg): 90.00 90.00 90.00
Element x y z (fractional)
Pd: 0.500 0.500 0.333
Y: 0.000 0.000 0.000
Ca: 0.000 0.000 0.334
Pd: 0.000 0.500 0.835
Ca: 0.000 0.000 0.666
Pd: 0.500 0.500 0.667
Pd: 0.500 0.000 0.835
Pd: 0.000 0.500 0.165
Pd: 0.500 0.000 0.500
Pd: 0.500 0.000 0.165
Pd: 0.500 0.500 0.000
Pd: 0.000 0.500 0.500

[10]
Here is a relaxed SrPb4F10 crystal from Alexandria. Energies are from PBE-GGA.

## Properties
* uncorrected formation energy: -2.71 eV per atom
* DFT total energy: -5.061 eV per atom
* M_tot: 0.0 μB/f.u.

a b c (Å): 4.218 4.218 15.222
angles (deg): 97.96 97.96 90.00
Element x y z (fractional)
F: 0.649 0.149 0.298
Pb: 0.800 0.800 0.601
Pb: 0.401 0.401 0.803
F: 0.952 0.452 0.903
F: 0.750 0.250 0.500
Pb: 0.599 0.599 0.197
F: 0.351 0.851 0.702
Sr: 0.000 0.000 0.000
F: 0.851 0.351 0.702
F: 0.048 0.548 0.097
F: 0.548 0.048 0.097
F: 0.149 0.649 0.298
Pb: 0.200 0.200 0.399
F: 0.452 0.952 0.903
F: 0.250 0.750 0.500

[11]
Here is a relaxed LaReSb crystal from Alexandria. Energies are from PBE-GGA.

## Properties
* uncorrected formation energy: 0.38 eV per atom
* DFT total energy: -6.788 eV per atom
* M_tot: 0.0 μB/f.u.
* energy above the lowest structure with this stoichiometry: 401 meV/atom

a b c (Å): 3.386 3.386 7.208
angles (deg): 90.00 90.00 120.00
Element x y z (fractional)
La: 0.000 0.000 0.025
Sb: 0.333 0.667 0.618
Re: 0.667 0.333 0.358

[12]
Here is a relaxed LaFePbCl2 crystal from Alexandria. Energies are from PBE-GGA.

## Properties
* uncorrected formation energy: -0.28 eV per atom
* DFT total energy: -4.438 eV per atom
* M_tot: 1.4 μB/f.u.

a b c (Å): 5.437 5.614 5.437
angles (deg): 90.00 90.00 90.00
Each line ends with the local moment (μB).
Element x y z (fractional)
Cl: 0.500 0.000 0.000  -0.03
Pb: 0.500 0.500 0.500  -0.30
Fe: 0.000 0.500 0.000  2.64
Cl: 0.000 0.000 0.500  -0.03
La: 0.000 0.000 0.000  -0.19

[13]
Here is a relaxed Ca3MnW crystal from Alexandria. Energies are from PBE-GGA.

## Properties
* DFT total energy: -3.861 eV per atom
* M_tot: 0.0 μB/f.u.
* formation enthalpy at 0 K: 170.3 kJ/mol of atoms
* energy above the lowest structure with this stoichiometry: 439 meV/atom

a b c (Å): 5.105 5.105 5.105
angles (deg): 90.00 90.00 90.00
Element x y z (fractional)
W: 0.500 0.500 0.500
Ca: 0.000 0.500 0.000
Mn: 0.000 0.000 0.000
Ca: 0.500 0.000 0.000
Ca: 0.000 0.000 0.500

[14]
Here is a relaxed DyYPu crystal from Alexandria. Energies are from PBE-GGA.

## Properties
* DFT total energy: -8.338 eV per atom
* M_tot: 6.1 μB/f.u.
* formation enthalpy at 0 K: 12.4 kJ/mol of atoms
* energy above the lowest structure with this stoichiometry: 13 meV/atom

a b c (Å): 3.524 3.524 8.546
angles (deg): 90.00 90.00 120.00
Each line ends with the local moment (μB).
Element x y z (fractional)
Y: 0.000 0.000 0.002  0.00
Pu: 0.667 0.333 0.334  5.64
Dy: 0.333 0.667 0.664  0.00

| no. | V (Å³/atom) |
| --- | --- |
| 1 | 21.985 |
| 2 | 30.469 |
| 3 | 18.700 |
| 4 | 27.858 |
| 5 | 27.124 |
| 6 | 11.311 |
| 7 | 28.561 |
| 8 | 23.345 |
| 9 | 17.640 |
| 10 | 17.705 |
| 11 | 23.857 |
| 12 | 33.190 |
| 13 | 26.604 |
| 14 | 30.641 |